# PBE Li2CaPrAu2, relaxed
data_Li2CaPrAu2
_cell_length_a 4.5909
_cell_length_b 4.5909
_cell_length_c 7.5091
_cell_angle_alpha 90.00
_cell_angle_beta 90.00
_cell_angle_gamma 120.00
_space_group_name_H-M_alt 'P -3 m 1'
_space_group_IT_number 164
_space_group_name_Hall '-P 3 2"'
loop_
_atom_site_label
_atom_site_type_symbol
_atom_site_fract_x
_atom_site_fract_y
_atom_site_fract_z
_atom_site_occupancy
Li1 Li 0.3333 0.6667 0.2298 1
Ca1 Ca 0.0000 0.0000 0.0000 1
Pr1 Pr 0.0000 0.0000 0.5000 1
Au1 Au 0.3333 0.6667 0.7487 1
# * ΔE_f: -12.182 kcal/mol of atoms


# PBE GaAu2N2, relaxed
data_GaAu2N2
_cell_length_a 4.212
_cell_length_b 4.212
_cell_length_c 9.038
_cell_angle_alpha 90.00
_cell_angle_beta 90.00
_cell_angle_gamma 90.00
_space_group_name_H-M_alt 'I 4/m m m'
_space_group_IT_number 139
_space_group_name_Hall '-I 4 2'
loop_
_atom_site_label
_atom_site_type_symbol
_atom_site_fract_x
_atom_site_fract_y
_atom_site_fract_z
_atom_site_occupancy
Ga1 Ga 0.000 0.000 0.000 1
Au1 Au 0.000 0.000 0.321 1
N1 N 0.000 0.500 0.250 1
# * polymorph energy (0 for the lowest one): 0 meV per atom
# * raw formation energy: 1.209 eV/atom


# PBE Ca2La2Ir, relaxed
data_Ca2La2Ir
_cell_length_a 7.462
_cell_length_b 7.462
_cell_length_c 6.223
_cell_angle_alpha 90.00
_cell_angle_beta 90.00
_cell_angle_gamma 90.00
_space_group_name_H-M_alt 'P 4/m b m'
_space_group_IT_number 127
_space_group_name_Hall '-P 4 2ab'
loop_
_atom_site_label
_atom_site_type_symbol
_atom_site_fract_x
_atom_site_fract_y
_atom_site_fract_z
_atom_site_occupancy
Ca1 Ca 0.174 0.326 0.000 1
La1 La 0.166 0.666 0.500 1
Ir1 Ir 0.000 0.000 0.500 1
# * polymorph energy (0 for the lowest one): 231 meV per atom
# * ΔE_f: -2.580 kcal/mol of atoms


# PBE PrInSi, relaxed
data_PrInSi
_cell_length_a 4.3883
_cell_length_b 4.3883
_cell_length_c 4.5445
_cell_angle_alpha 90.00
_cell_angle_beta 90.00
_cell_angle_gamma 120.00
_space_group_name_H-M_alt 'P 3 m 1'
_space_group_IT_number 156
_space_group_name_Hall 'P 3 -2"'
loop_
_atom_site_label
_atom_site_type_symbol
_atom_site_fract_x
_atom_site_fract_y
_atom_site_fract_z
_atom_site_occupancy
Pr1 Pr 0.0000 0.0000 0.0000 1
In1 In 0.3333 0.6667 0.4431 1
Si1 Si 0.6667 0.3333 0.6147 1
# * raw formation energy: -0.457 eV/atom


# PBE Zn3SiMo, relaxed
data_Zn3SiMo
_cell_length_a 4.856
_cell_length_b 4.856
_cell_length_c 4.856
_cell_angle_alpha 90.00
_cell_angle_beta 90.00
_cell_angle_gamma 90.00
_space_group_name_H-M_alt 'P m -3 m'
_space_group_IT_number 221
_space_group_name_Hall '-P 4 2 3'
loop_
_atom_site_label
_atom_site_type_symbol
_atom_site_fract_x
_atom_site_fract_y
_atom_site_fract_z
_atom_site_occupancy
Zn1 Zn 0.000 0.000 0.500 1
Si1 Si 0.500 0.500 0.500 1
Mo1 Mo 0.000 0.000 0.000 1
# * polymorph energy (0 for the lowest one): 180 meV per atom
# * raw formation energy: 1.255 eV/atom


# PBE HfTi6Bi2, relaxed
data_HfTi6Bi2
_cell_length_a 4.895
_cell_length_b 5.618
_cell_length_c 13.084
_cell_angle_alpha 90.00
_cell_angle_beta 90.00
_cell_angle_gamma 90.00
_space_group_name_H-M_alt 'I m m m'
_space_group_IT_number 71
_space_group_name_Hall '-I 2 2'
loop_
_atom_site_label
_atom_site_type_symbol
_atom_site_fract_x
_atom_site_fract_y
_atom_site_fract_z
_atom_site_occupancy
Hf1 Hf 0.000 0.000 0.000 1
Ti1 Ti 0.000 0.000 0.213 1
Ti2 Ti 0.000 0.268 0.394 1
Bi1 Bi 0.000 0.500 0.154 1
# * ΔE_f: 1.221 kcal/mol of atoms


# PBE MgZr2VP, relaxed
data_MgZr2VP
_cell_length_a 4.900
_cell_length_b 4.900
_cell_length_c 4.588
_cell_angle_alpha 90.00
_cell_angle_beta 90.00
_cell_angle_gamma 90.00
_space_group_name_H-M_alt 'P 4/m m m'
_space_group_IT_number 123
_space_group_name_Hall '-P 4 2'
loop_
_atom_site_label
_atom_site_type_symbol
_atom_site_fract_x
_atom_site_fract_y
_atom_site_fract_z
_atom_site_occupancy
Mg1 Mg 0.000 0.000 0.000 1
Zr1 Zr 0.000 0.500 0.500 1
V1 V 0.500 0.500 0.000 1
P1 P 0.000 0.000 0.500 1
# * ΔE_f: 5.983 kcal/mol of atoms


E (eV/atom)
-3.389 -4.037 -4.656 -4.771 -2.760 -7.179 -6.384
N(E_F) (states/eV/f.u.)
5.25 1.07 5.13 0.37 2.49 9.54 4.96